(1)
Here is MoOs2W at its PBEsol-relaxed geometry from Alexandria via LeMat-Bulk. Energies are from meta-GGA SCAN.

Energy = -496.209 eV per cell
E_form = 57 meV per atom
D(E_F) = 7.0 states/eV/cell

CIF file:
```
data_MoOs2W
_chemical_formula_sum 'Mo2 Os4 W2'
_cell_length_a 3.905
_cell_length_b 3.905
_cell_length_c 7.719
_cell_angle_alpha 90.00
_cell_angle_beta 90.00
_cell_angle_gamma 90.00
_space_group_name_H-M_alt 'I 4/m m m'
_space_group_IT_number 139
_space_group_name_Hall '-I 4 2'
loop_
_atom_site_label
_atom_site_fract_x
_atom_site_fract_y
_atom_site_fract_z
Mo1 0.000 0.000 0.000
Os1 0.000 0.500 0.250
W1 0.000 0.000 0.500
```

***

(2)
Here is KBeCl2 at its PBEsol-relaxed geometry from Alexandria via LeMat-Bulk. Energies are from meta-GGA SCAN.

ΔE to the lowest computed polymorph = 347 meV/atom
Uncorrected formation energy = -0.63 eV per atom
Energy = -31.175 eV per cell
D(E_F) = 0.7 states/eV/cell

CIF file:
```
data_KBeCl2
_chemical_formula_sum 'K1 Be1 Cl2'
_cell_length_a 4.886
_cell_length_b 4.886
_cell_length_c 3.455
_cell_angle_alpha 90.00
_cell_angle_beta 90.00
_cell_angle_gamma 90.00
_space_group_name_H-M_alt 'P 4/m m m'
_space_group_IT_number 123
_space_group_name_Hall '-P 4 2'
loop_
_atom_site_label
_atom_site_fract_x
_atom_site_fract_y
_atom_site_fract_z
K1 0.000 0.000 0.000
Be1 0.500 0.500 0.000
Cl1 0.000 0.500 0.500
```

***

(3)
Here is CaAgRh at its PBEsol-relaxed geometry from Alexandria via LeMat-Bulk. Energies are from meta-GGA SCAN.

Energy = -74.136 eV per cell
E_form = 222 meV per atom
D(E_F) = 1.2 states/eV/cell

CIF file:
```
data_CaAgRh
_chemical_formula_sum 'Ca1 Ag1 Rh1'
_cell_length_a 3.0522
_cell_length_b 3.0522
_cell_length_c 6.8611
_cell_angle_alpha 90.00
_cell_angle_beta 90.00
_cell_angle_gamma 120.00
_space_group_name_H-M_alt 'P 3 m 1'
_space_group_IT_number 156
loop_
_space_group_symop_operation_xyz
'x,y,z'
'-y,x-y,z'
'-x+y,-x,z'
'-y,-x,z'
'-x+y,y,z'
'x,x-y,z'
loop_
_atom_site_label
_atom_site_fract_x
_atom_site_fract_y
_atom_site_fract_z
Ca1 0.0000 0.0000 0.0000
Ag1 0.6667 0.3333 0.3759
Rh1 0.3333 0.6667 0.6944
```

***

(4)
Here is Ta2IrRu at its PBEsol-relaxed geometry from Alexandria via LeMat-Bulk. Energies are from meta-GGA SCAN.

Energy = -717.385 eV per cell
E_form = -9 meV per atom
D(E_F) = 8.7 states/eV/cell

CIF file:
```
data_Ta2IrRu
_chemical_formula_sum 'Ta6 Ir3 Ru3'
_cell_length_a 2.9022
_cell_length_b 2.9022
_cell_length_c 26.3468
_cell_angle_alpha 90.00
_cell_angle_beta 90.00
_cell_angle_gamma 120.00
_space_group_name_H-M_alt 'R 3 m'
_space_group_IT_number 160
_space_group_name_Hall 'R 3 -2"'
loop_
_atom_site_label
_atom_site_fract_x
_atom_site_fract_y
_atom_site_fract_z
Ta1 0.0000 0.0000 0.0000
Ta2 0.0000 0.0000 0.2434
Ir1 0.0000 0.0000 0.7463
Ru1 0.0000 0.0000 0.5001
```

***

(5)
Here is TePdF3 at its PBEsol-relaxed geometry from Alexandria via LeMat-Bulk. Energies are from meta-GGA SCAN.

Uncorrected formation energy = -0.66 eV per atom
Energy = -83.940 eV per cell
D(E_F) = 3.5 states/eV/cell

CIF file:
```
data_TePdF3
_chemical_formula_sum 'Te1 Pd1 F3'
_cell_length_a 4.448
_cell_length_b 4.448
_cell_length_c 4.448
_cell_angle_alpha 90.00
_cell_angle_beta 90.00
_cell_angle_gamma 90.00
_space_group_name_H-M_alt 'P m -3 m'
_space_group_IT_number 221
_space_group_name_Hall '-P 4 2 3'
loop_
_atom_site_label
_atom_site_fract_x
_atom_site_fract_y
_atom_site_fract_z
Te1 0.000 0.000 0.000
Pd1 0.500 0.500 0.500
F1 0.000 0.000 0.500
```

***

(6)
Here is InPt2Rh at its PBEsol-relaxed geometry from Alexandria via LeMat-Bulk. Energies are from meta-GGA SCAN.

Energy = -417.232 eV per cell
E_form = -268 meV per atom
D(E_F) = 7.0 states/eV/cell

CIF file:
```
data_InPt2Rh
_chemical_formula_sum 'In2 Pt4 Rh2'
_cell_length_a 4.032
_cell_length_b 4.032
_cell_length_c 7.665
_cell_angle_alpha 90.00
_cell_angle_beta 90.00
_cell_angle_gamma 90.00
_space_group_name_H-M_alt 'I -4 m 2'
_space_group_IT_number 119
_space_group_name_Hall 'I -4 -2'
loop_
_atom_site_label
_atom_site_fract_x
_atom_site_fract_y
_atom_site_fract_z
In1 0.000 0.000 0.000
Pt1 0.000 0.000 0.500
Pt2 0.000 0.500 0.250
Rh1 0.000 0.500 0.750
```

***

(7)
Here is RbCo2Si2 at its PBEsol-relaxed geometry from Alexandria via LeMat-Bulk. Energies are from meta-GGA SCAN.

Uncorrected formation energy = 0.27 eV per atom
Energy = -148.012 eV per cell
D(E_F) = 4.0 states/eV/cell

CIF file:
```
data_RbCo2Si2
_chemical_formula_sum 'Rb2 Co4 Si4'
_cell_length_a 3.710
_cell_length_b 3.710
_cell_length_c 13.556
_cell_angle_alpha 90.00
_cell_angle_beta 90.00
_cell_angle_gamma 90.00
_space_group_name_H-M_alt 'I 4/m m m'
_space_group_IT_number 139
_space_group_name_Hall '-I 4 2'
loop_
_atom_site_label
_atom_site_fract_x
_atom_site_fract_y
_atom_site_fract_z
Rb1 0.000 0.000 0.000
Co1 0.000 0.000 0.343
Si1 0.000 0.500 0.250
```

***

(8)
Here is Cs2NaLaCl6 at its PBEsol-relaxed geometry from Alexandria via LeMat-Bulk. Energies are from meta-GGA SCAN.

Uncorrected formation energy = -2.41 eV per atom
Energy = -779.511 eV per cell
D(E_F) = 0.0 states/eV/cell

CIF file:
```
data_Cs2NaLaCl6
_chemical_formula_sum 'Cs8 Na4 La4 Cl24'
_cell_length_a 10.908
_cell_length_b 10.908
_cell_length_c 10.908
_cell_angle_alpha 90.00
_cell_angle_beta 90.00
_cell_angle_gamma 90.00
_space_group_name_H-M_alt 'F m -3 m'
_space_group_IT_number 225
_space_group_name_Hall '-F 4 2 3'
loop_
_atom_site_label
_atom_site_fract_x
_atom_site_fract_y
_atom_site_fract_z
Cs1 0.250 0.250 0.250
Na1 0.000 0.000 0.000
La1 0.000 0.000 0.500
Cl1 0.000 0.000 0.249
```

***

(9)
Here is MnPtSeN2 at its PBEsol-relaxed geometry from Alexandria via LeMat-Bulk. Energies are from meta-GGA SCAN.

Uncorrected formation energy = 0.64 eV per atom
Energy = -123.892 eV per cell
D(E_F) = 2.0 states/eV/cell

CIF file:
```
data_MnPtSeN2
_chemical_formula_sum 'Mn1 Pt1 Se1 N2'
_cell_length_a 3.533
_cell_length_b 3.533
_cell_length_c 5.359
_cell_angle_alpha 90.00
_cell_angle_beta 90.00
_cell_angle_gamma 90.00
_space_group_name_H-M_alt 'P 4/m m m'
_space_group_IT_number 123
_space_group_name_Hall '-P 4 2'
loop_
_atom_site_label
_atom_site_fract_x
_atom_site_fract_y
_atom_site_fract_z
Mn1 0.000 0.000 0.000
Pt1 0.500 0.500 0.500
Se1 0.000 0.000 0.500
N1 0.000 0.500 0.000
```

***

(10)
Here is AsN at its PBEsol-relaxed geometry from Alexandria via LeMat-Bulk. Energies are from meta-GGA SCAN.

Uncorrected formation energy = 0.01 eV per atom
Energy = -117.880 eV per cell
D(E_F) = 0.0 states/eV/cell

CIF file:
```
data_AsN
_chemical_formula_sum 'As4 N4'
_cell_length_a 6.177
_cell_length_b 3.559
_cell_length_c 9.377
_cell_angle_alpha 90.00
_cell_angle_beta 108.55
_cell_angle_gamma 90.00
_space_group_name_H-M_alt 'C 1 2/m 1'
_space_group_IT_number 12
loop_
_space_group_symop_operation_xyz
'x,y,z'
'-x,-y,-z'
'-x,y,-z'
'x,-y,z'
'x+1/2,y+1/2,z'
'-x+1/2,-y+1/2,-z'
'-x+1/2,y+1/2,-z'
'x+1/2,-y+1/2,z'
loop_
_atom_site_label
_atom_site_fract_x
_atom_site_fract_y
_atom_site_fract_z
As1 0.129 0.000 0.422
N1 0.075 0.500 0.052
```

***

(11)
Here is TePb3Cl2O4 at its PBEsol-relaxed geometry from Alexandria via LeMat-Bulk. Energies are from meta-GGA SCAN.

Uncorrected formation energy = -1.28 eV per atom
Energy = -636.633 eV per cell
D(E_F) = 0.0 states/eV/cell

CIF file:
```
data_TePb3Cl2O4
_chemical_formula_sum 'Te2 Pb6 Cl4 O8'
_cell_length_a 5.546
_cell_length_b 5.551
_cell_length_c 12.325
_cell_angle_alpha 90.00
_cell_angle_beta 90.00
_cell_angle_gamma 90.00
_space_group_name_H-M_alt 'A m m 2'
_space_group_IT_number 38
loop_
_space_group_symop_operation_xyz
'x,y,z'
'-x,-y,z'
'-x,y,z'
'x,-y,z'
'x,y+1/2,z+1/2'
'-x,-y+1/2,z+1/2'
'-x,y+1/2,z+1/2'
'x,-y+1/2,z+1/2'
loop_
_atom_site_label
_atom_site_fract_x
_atom_site_fract_y
_atom_site_fract_z
Te1 0.000 0.000 0.000
Pb1 0.000 0.000 0.685
Pb2 0.500 0.000 0.178
Pb3 0.500 0.000 0.460
Cl1 0.000 0.000 0.324
Cl2 0.500 0.000 0.813
O1 0.234 0.233 0.067
```

***

(12)
Here is La2Sc at its PBEsol-relaxed geometry from Alexandria via LeMat-Bulk. Energies are from meta-GGA SCAN.

ΔE to the lowest computed polymorph = 20 meV/atom
Energy = -200.480 eV per cell
E_form = 69 meV per atom
D(E_F) = 8.5 states/eV/cell

CIF file:
```
data_La2Sc
_chemical_formula_sum 'La4 Sc2'
_cell_length_a 6.1472
_cell_length_b 6.1472
_cell_length_c 5.5953
_cell_angle_alpha 90.00
_cell_angle_beta 90.00
_cell_angle_gamma 120.00
_space_group_name_H-M_alt 'P -6 2 m'
_space_group_IT_number 189
_space_group_name_Hall 'P -6 -2'
loop_
_atom_site_label
_atom_site_fract_x
_atom_site_fract_y
_atom_site_fract_z
La1 0.0000 0.0000 0.0000
La2 0.0000 0.6296 0.5000
Sc1 0.3333 0.6667 0.0000
```